# 1
Computed, not measured: ScFe2NiB after structural relaxation at the PBE level of DFT.

Crystal system: tetragonal

Geometry as extended XYZ:
```
5
Lattice="3.900 0.000 0.000 0.000 3.900 0.000 0.000 0.000 3.891" Properties=species:S:1:pos:R:3 pbc="T T T"
Sc 0.000 0.000 0.000
Fe 0.000 1.950 1.945
Fe 1.950 0.000 1.945
Ni 1.950 1.950 0.000
B 1.950 1.950 1.945
```

---

# 2
Computed, not measured: BeGa after structural relaxation at the PBE level of DFT.

Crystal system: monoclinic

Geometry as extended XYZ:
```
4
Lattice="3.507 0.000 0.000 0.000 3.662 0.000 -1.643 0.000 4.091" Properties=species:S:1:pos:R:3 pbc="T T T"
Be 0.009 0.915 0.585
Be 1.855 2.746 3.506
Ga 0.124 0.915 2.952
Ga 1.740 2.746 1.139
```

---

# 3
Computed, not measured: Rb3CuCl6 after structural relaxation at the PBE level of DFT.

Crystal system: monoclinic

Geometry as extended XYZ:
```
20
Lattice="7.515 0.000 0.000 0.000 7.848 0.000 -7.400 0.000 10.747" Properties=species:S:1:pos:R:3 pbc="T T T"
Rb 0.000 0.000 0.000
Rb -3.700 3.924 5.374
Rb -3.524 0.505 8.082
Rb 0.175 3.419 2.708
Rb -0.060 4.429 8.039
Rb 3.640 7.344 2.665
Cu 0.058 0.000 5.374
Cu 3.757 3.924 0.000
Cl -0.630 0.207 3.124
Cl -4.330 3.717 8.498
Cl 1.827 5.230 0.453
Cl -1.873 6.543 5.827
Cl 2.548 1.903 0.556
Cl -1.152 2.021 5.929
Cl 1.267 5.827 4.818
Cl -2.432 5.945 10.192
Cl 1.988 1.306 4.921
Cl -1.711 2.619 10.294
Cl 4.445 4.131 2.249
Cl 0.745 7.641 7.623
```

---

# 4
Computed, not measured: Rb4CuHg2As2 after structural relaxation at the PBE level of DFT.

Crystal system: monoclinic

Geometry as extended XYZ:
```
9
Lattice="6.067 -4.604 0.000 6.067 4.604 0.000 -0.107 0.000 6.023" Properties=species:S:1:pos:R:3 pbc="T T T"
Rb 4.517 2.338 4.184
Rb 7.509 2.338 1.839
Rb 4.517 -2.338 4.184
Rb 7.509 -2.338 1.839
Cu 0.000 0.000 0.000
Hg 4.256 0.000 0.922
Hg 7.770 0.000 5.102
As 1.902 0.000 4.928
As 10.124 0.000 1.095
```

---

# 5
Computed, not measured: Tb2ZrNpP4 after structural relaxation at the PBE level of DFT.

Crystal system: monoclinic

Geometry as extended XYZ:
```
8
Lattice="6.785 0.000 0.000 0.000 3.927 0.000 -2.243 0.000 6.433" Properties=species:S:1:pos:R:3 pbc="T T T"
Tb 0.000 0.000 0.000
Tb 3.393 1.964 0.000
Zr -1.122 1.964 3.217
Np 2.271 0.000 3.217
P -0.014 0.000 4.735
P 1.100 1.964 1.679
P 3.442 1.964 4.754
P 4.556 0.000 1.698
```

---

# 6
Computed, not measured: MnBiS2Br after structural relaxation at the PBE level of DFT.

Crystal system: monoclinic

Geometry as extended XYZ:
```
10
Lattice="8.087 0.000 0.000 0.000 4.197 0.000 -2.449 0.000 9.541" Properties=species:S:1:pos:R:3 pbc="T T T"
Mn -0.163 1.049 1.118
Mn 5.801 3.148 8.423
Bi 0.571 3.148 4.195
Bi 5.066 1.049 5.347
S -1.403 3.148 6.199
S 1.042 3.148 1.160
S 4.596 1.049 8.382
S 7.041 1.049 3.343
Br 1.747 1.049 6.009
Br 3.891 3.148 3.533
```

---

| no. | electronic total energy (eV for the cell shown) |
| --- | --- |
| 1 | -37.147 |
| 2 | -12.761 |
| 3 | -61.781 |
| 4 | -19.882 |
| 5 | -63.327 |
| 6 | -50.443 |